The following is a DFT calculation (PBE-GGA) of crystalline Al2Rh at its relaxed geometry.

extended XYZ file:
```
12
Lattice="-2.2629 -2.1331 0.0510 5.0930 -5.5235 -5.0485 4.0959 -4.2583 3.6316" Properties=species:S:1:pos:R:3 pbc="T T T"
Rh 3.9494 -6.5169 -2.5042
Al 4.5566 -4.8505 -0.6974
Rh 7.3615 -7.8084 0.0393
Rh 6.7122 -9.4481 -2.5119
Al 2.0574 -4.4895 -1.6536
Al 3.2635 -5.6878 1.7473
Al 4.7809 -5.1830 -4.6535
Al 0.2025 -2.4687 0.5701
Rh 1.7035 -1.8427 -1.4883
Al 4.8881 -7.4524 0.0230
Al 6.4562 -6.9005 -2.1551
Al 2.9116 -3.0745 0.5959
```

Output
The calculation puts the formation energy at -0.674 eV per atom. The value obtained for the theoretical density is 5.87 g/cm³. The value obtained for the electronic total energy is -5.619 eV per atom. As for the space-group type: No. 6.

The following is a DFT calculation (PBE-GGA) of crystalline Pu2Ge6Pt at its relaxed geometry.

extended XYZ file:
```
9
Lattice="-0.1603 3.7033 -3.9161 -2.0361 -4.2148 -3.9030 -5.9903 -0.9271 -0.6321" Properties=species:S:1:pos:R:3 pbc="T T T"
Ge -2.5018 -0.2606 -5.2944
Ge -1.5938 1.6190 -3.5540
Ge -5.6850 -1.1779 -3.1568
Ge -3.9216 -2.6439 -4.6154
Pu -5.4790 -0.4747 -6.1465
Pt 0.0000 0.0000 0.0000
Ge -4.2651 1.2054 -3.8358
Ge -6.5929 -3.0575 -4.8972
Pu -2.7077 -0.9638 -2.3047
```

Output
The calculation puts the formation energy at -0.397 eV per atom. The value obtained for the theoretical density is 10.71 g/cm³. The value obtained for the electronic total energy is -7.331 eV per atom. As for the space-group type: No. 164.